[1]
! MgPAu2N | Alexandria via LeMat-Bulk | PBE | relaxed; values from VASP
&SYSTEM
  ibrav = 0, nat = 5, ntyp = 4
/
ATOMIC_SPECIES
P 30.97 P.upf
Mg 24.30 Mg.upf
Au 196.97 Au.upf
N 14.01 N.upf
CELL_PARAMETERS angstrom
-1.8085 4.5720 -0.9983
-2.1213 -1.4363 -2.7352
-3.7195 -0.7549 3.2811
ATOMIC_POSITIONS crystal
P 0.5000 0.5000 0.5000
Mg 0.0000 0.0000 0.0000
Au 0.0000 0.0000 0.5000
Au 0.5000 0.0000 0.0000
N 0.0000 0.5000 0.0000
! Formation energy without anion corrections ... 1.17 eV/atom
! DOS at the Fermi energy ... 4.222 states/eV/cell
! SG ... P4/mmm (123)

[2]
! Mg2PdAuN | Alexandria via LeMat-Bulk | PBE | relaxed; values from VASP
&SYSTEM
  ibrav = 0, nat = 5, ntyp = 4
/
ATOMIC_SPECIES
N 14.01 N.upf
Au 196.97 Au.upf
Pd 106.42 Pd.upf
Mg 24.30 Mg.upf
CELL_PARAMETERS angstrom
-0.7812 -0.7914 -4.9641
-0.8552 -3.5869 0.7064
-4.8914 1.2777 0.5661
ATOMIC_POSITIONS crystal
N 0.0000 0.5000 0.0000
Au 0.5000 0.5000 0.5000
Pd 0.0000 0.0000 0.0000
Mg 0.0000 0.0000 0.5000
Mg 0.5000 0.0000 0.0000
! Formation energy without anion corrections ... 0.24 eV/atom
! DOS at the Fermi energy ... 2.143 states/eV/cell
! SG ... P4/mmm (123)

[3]
! MgPdAuN2 | Alexandria via LeMat-Bulk | PBE | relaxed; values from VASP
&SYSTEM
  ibrav = 0, nat = 5, ntyp = 4
/
ATOMIC_SPECIES
N 14.01 N.upf
Au 196.97 Au.upf
Pd 106.42 Pd.upf
Mg 24.30 Mg.upf
CELL_PARAMETERS angstrom
3.9552 0.0000 0.0000
0.0000 5.0915 0.0000
0.0000 0.0000 3.9552
ATOMIC_POSITIONS crystal
N 0.0000 0.0000 0.5000
N 0.5000 0.0000 0.0000
Au 0.0000 0.5000 0.0000
Pd 0.5000 0.5000 0.5000
Mg 0.0000 0.0000 0.0000
! Formation energy without anion corrections ... 1.49 eV/atom
! DOS at the Fermi energy ... 3.034 states/eV/cell
! SG ... P4/mmm (123)

[4]
! MgPtAuN2 | Alexandria via LeMat-Bulk | PBE | relaxed; values from VASP
&SYSTEM
  ibrav = 0, nat = 5, ntyp = 4
/
ATOMIC_SPECIES
N 14.01 N.upf
Pt 195.08 Pt.upf
Mg 24.30 Mg.upf
Au 196.97 Au.upf
CELL_PARAMETERS angstrom
3.9240 0.0000 0.0000
0.0000 5.0792 0.0000
0.0000 0.0000 3.9240
ATOMIC_POSITIONS crystal
N 0.0000 0.0000 0.5000
N 0.5000 0.0000 0.0000
Pt 0.5000 0.5000 0.5000
Mg 0.0000 0.0000 0.0000
Au 0.0000 0.5000 0.0000
! Formation energy without anion corrections ... 1.61 eV/atom
! DOS at the Fermi energy ... 3.122 states/eV/cell
! SG ... P4/mmm (123)

[5]
! RbMgAu2N | Alexandria via LeMat-Bulk | PBE | relaxed; values from VASP
&SYSTEM
  ibrav = 0, nat = 5, ntyp = 4
/
ATOMIC_SPECIES
Mg 24.30 Mg.upf
N 14.01 N.upf
Au 196.97 Au.upf
Rb 85.47 Rb.upf
CELL_PARAMETERS angstrom
6.5048 0.0000 0.0000
0.0000 8.0366 0.0000
0.0000 0.0000 6.5048
ATOMIC_POSITIONS crystal
Mg 0.0000 0.5000 0.0000
N 0.5000 0.5000 0.5000
Au 0.5000 0.0000 0.0000
Au 0.0000 0.0000 0.5000
Rb 0.0000 0.0000 0.0000
! Formation energy without anion corrections ... 1.85 eV/atom
! DOS at the Fermi energy ... 6.035 states/eV/cell
! SG ... P4/mmm (123)

[6]
! MgRuAu2N | Alexandria via LeMat-Bulk | PBE | relaxed; values from VASP
&SYSTEM
  ibrav = 0, nat = 5, ntyp = 4
/
ATOMIC_SPECIES
Ru 101.07 Ru.upf
N 14.01 N.upf
Au 196.97 Au.upf
Mg 24.30 Mg.upf
CELL_PARAMETERS angstrom
4.6158 0.0000 0.0000
0.0000 3.8310 0.0000
0.0000 0.0000 4.6158
ATOMIC_POSITIONS crystal
Ru 0.0000 0.5000 0.0000
N 0.0000 0.0000 0.0000
Au 0.5000 0.0000 0.0000
Au 0.0000 0.0000 0.5000
Mg 0.5000 0.5000 0.5000
! Formation energy without anion corrections ... 0.37 eV/atom
! DOS at the Fermi energy ... 2.000 states/eV/cell
! SG ... P4/mmm (123)

[7]
! MgSb2AuN | Alexandria via LeMat-Bulk | PBE | relaxed; values from VASP
&SYSTEM
  ibrav = 0, nat = 5, ntyp = 4
/
ATOMIC_SPECIES
Sb 121.76 Sb.upf
N 14.01 N.upf
Mg 24.30 Mg.upf
Au 196.97 Au.upf
CELL_PARAMETERS angstrom
-1.8969 -2.8582 -4.6292
-0.7096 -2.9887 2.1360
-5.3296 1.9609 0.9732
ATOMIC_POSITIONS crystal
Sb 0.5000 0.0000 0.0000
Sb 0.0000 0.0000 0.5000
N 0.0000 0.5000 0.0000
Mg 0.5000 0.5000 0.5000
Au 0.0000 0.0000 0.0000
! Formation energy without anion corrections ... 0.77 eV/atom
! DOS at the Fermi energy ... 3.672 states/eV/cell
! SG ... P4/mmm (123)

[8]
! Mg2ScAuN | Alexandria via LeMat-Bulk | PBE | relaxed; values from VASP
&SYSTEM
  ibrav = 0, nat = 5, ntyp = 4
/
ATOMIC_SPECIES
N 14.01 N.upf
Mg 24.30 Mg.upf
Sc 44.96 Sc.upf
Au 196.97 Au.upf
CELL_PARAMETERS angstrom
-1.2354 0.5678 -4.0826
-1.1533 -4.1394 -0.2267
-3.9971 1.0395 1.3541
ATOMIC_POSITIONS crystal
N 0.0000 0.0000 0.0000
Mg 0.0000 0.5000 0.0000
Mg 0.5000 0.0000 0.0000
Sc 0.0000 0.0000 0.5000
Au 0.5000 0.5000 0.5000
! Formation energy without anion corrections ... -0.80 eV/atom
! DOS at the Fermi energy ... 2.164 states/eV/cell
! SG ... P4/mmm (123)